DFT (PBE-GGA) results for GdZrAgIr after structural relaxation.

Cell and atoms, written as POSCAR:
```
GdZrAgIr
1.0
-4.808 0.717 0.538
-2.109 -0.729 4.352
-1.628 3.811 2.597
Zr Gd Ir Ag
1 1 1 1
direct
0.500 0.500 0.500
0.000 0.000 0.000
0.750 0.750 0.750
0.250 0.250 0.250
```

Calculated values
Calculated total energy = -35.97 eV per formula unit
Symmetry = No. 216
Density = 11.0 g/cm3

DFT (PBE-GGA) results for Ac4LaZn after structural relaxation.

Cell and atoms, written as POSCAR:
```
Ac4LaZn
1.0
-2.042 -0.073 -3.363
0.273 -3.924 -0.081
-12.791 -1.052 7.789
Ac Zn La
4 1 1
direct
0.000 0.000 0.628
0.000 0.000 0.372
0.500 0.500 0.822
0.500 0.500 0.178
0.500 0.500 0.500
0.000 0.000 0.000
```

Calculated values
Calculated total energy = -23.08 eV per formula unit
Symmetry = No. 123
Density = 7.9 g/cm3

- Which value of density does entry 2 give?
  7.9 g/cm3